(one)
Density functional theory data (PBE) for crystalline Dy8Al2In at its relaxed geometry.

Summary:
total magnetic moment = 0.00 μB/f.u.
SG = C2/m

a = 5.2074 Å, b = 8.3735 Å, c = 8.4639 Å
α = 117.98°, β = 107.92°, γ = 90.00°
With the nearest neighbours (Å) after each atom.
Atoms (fractional coordinates):
1 Dy 0.3991 0.5422 0.7982  3 Al 3.15-3.20, 1 In 3.35, 2 Dy 3.49
2 Dy 0.6831 0.9549 0.3661  1 Al 3.09, 1 In 3.15, 4 Dy 3.22-3.25
3 Dy 0.8562 0.8018 0.7123  3 Al 3.12-3.23, 2 In 3.33
4 Dy 0.9352 0.2804 0.8705  1 Al 3.06, 3 Dy 3.21-3.25
5 Dy 0.1438 0.1982 0.2877  3 Al 3.12-3.23, 2 In 3.33
6 Dy 0.3169 0.0451 0.6339  1 Al 3.09, 1 In 3.15, 4 Dy 3.22-3.25
7 Dy 0.6009 0.4578 0.2018  3 Al 3.15-3.20, 1 In 3.35, 2 Dy 3.49
8 Dy 0.0648 0.7196 0.1295  1 Al 3.06, 3 Dy 3.21-3.25
9 Al 0.7758 0.3783 0.5516  8 Dy 3.06-3.23
10 Al 0.2242 0.6217 0.4484  8 Dy 3.06-3.23
11 In 0.5000 0.0000 0.0000  8 Dy 3.15-3.35

(two)
Density functional theory data (PBE) for crystalline Dy8Al2In at its relaxed geometry.

Summary:
total magnetic moment = 0.00 μB/f.u.
SG = Immm

a = 4.9936 Å, b = 8.3776 Å, c = 8.8035 Å
α = 118.41°, β = 106.48°, γ = 90.00°
With the nearest neighbours (Å) after each atom.
Atoms (fractional coordinates):
1 Dy 0.6605 0.8756 0.3210  3 Al 3.12-3.21, 1 In 3.35, 5 Dy 3.36-3.46
2 Dy 0.3395 0.5546 0.6790  3 Al 3.12-3.21, 1 In 3.35, 5 Dy 3.36-3.46
3 Dy 0.1456 0.1457 0.2913  2 In 3.29, 8 Dy 3.36-3.46, 2 Al 3.43
4 Dy 0.0000 0.3109 0.0000  7 Dy 3.17-3.44, 2 Al 3.25
5 Dy 0.8544 0.8543 0.7087  2 In 3.29, 8 Dy 3.36-3.46, 2 Al 3.43
6 Dy 0.6605 0.4454 0.3210  3 Al 3.12-3.21, 1 In 3.35, 5 Dy 3.36-3.46
7 Dy 0.3395 0.1244 0.6790  3 Al 3.12-3.21, 1 In 3.35, 5 Dy 3.36-3.46
8 Dy 0.0000 0.6891 0.0000  7 Dy 3.17-3.44, 2 Al 3.25
9 Al 0.1935 0.6935 0.3870  10 Dy 3.12-3.43
10 Al 0.8065 0.3065 0.6130  10 Dy 3.12-3.43
11 In 0.5000 0.0000 0.0000  12 Dy 3.29-3.61

Least stable structure: (two)

(one)
Density functional theory data (PBE) for crystalline DyMgAlIn at its relaxed geometry.

Summary:
total magnetic moment = 0.00 μB/f.u.
SG = Pmmm

a = 4.4248 Å, b = 4.4541 Å, c = 4.5678 Å
α = 90.00°, β = 90.00°, γ = 90.00°
With the nearest neighbours (Å) after each atom.
Atoms (fractional coordinates):
1 Dy 0.0000 0.0000 0.0000  4 Al 3.14, 4 In 3.18, 4 Mg 3.19
2 Mg 0.0000 0.5000 0.5000  4 In 3.14, 4 Al 3.18, 4 Dy 3.19
3 Al 0.5000 0.5000 0.0000  4 Dy 3.14, 4 Mg 3.18, 4 In 3.19
4 In 0.5000 0.0000 0.5000  4 Mg 3.14, 4 Dy 3.18, 4 Al 3.19

(two)
Density functional theory data (PBE) for crystalline DyMgAlIn at its relaxed geometry.

Summary:
total magnetic moment = 0.00 μB/f.u.
SG = F-43m

a = 5.0758 Å, b = 5.0758 Å, c = 5.0758 Å
α = 60.00°, β = 60.00°, γ = 60.00°
With the nearest neighbours (Å) after each atom.
Atoms (fractional coordinates):
1 Mg 0.7500 0.7500 0.7500  4 In 3.11, 4 Al 3.11
2 In 0.5000 0.5000 0.5000  4 Mg 3.11, 4 Dy 3.11
3 Al 0.0000 0.0000 0.0000  4 Dy 3.11, 4 Mg 3.11
4 Dy 0.2500 0.2500 0.2500  4 Al 3.11, 4 In 3.11

Least stable structure: (two)

(one)
Density functional theory data (PBE) for crystalline TbDyAlIn at its relaxed geometry.

Summary:
total magnetic moment = 0.00 μB/f.u.
SG = P4mm

a = 3.6384 Å, b = 3.6384 Å, c = 7.5996 Å
α = 90.00°, β = 90.00°, γ = 90.00°
With the nearest neighbours (Å) after each atom.
Atoms (fractional coordinates):
1 Tb 0.5000 0.5000 0.1183  4 Al 3.15, 4 In 3.26
2 Dy 0.5000 0.5000 0.5957  4 Al 3.14, 4 In 3.24
3 Al 0.0000 0.0000 0.3585  4 Dy 3.14, 4 Tb 3.15
4 In 0.0000 0.0000 0.8554  4 Dy 3.24, 4 Tb 3.26

(two)
Density functional theory data (PBE) for crystalline TbDyAlIn at its relaxed geometry.

Summary:
total magnetic moment = 0.00 μB/f.u.
SG = F-43m

a = 5.2245 Å, b = 5.2245 Å, c = 5.2245 Å
α = 60.00°, β = 60.00°, γ = 60.00°
With the nearest neighbours (Å) after each atom.
Atoms (fractional coordinates):
1 In 0.2500 0.2500 0.2500  4 Tb 3.20, 4 Dy 3.20
2 Tb 0.0000 0.0000 0.0000  4 In 3.20, 4 Al 3.20
3 Al 0.7500 0.7500 0.7500  4 Tb 3.20, 4 Dy 3.20
4 Dy 0.5000 0.5000 0.5000  4 Al 3.20, 4 In 3.20

Least stable structure: (two)

(one)
Density functional theory data (PBE) for crystalline DyAl2Ir2 at its relaxed geometry.

Summary:
total magnetic moment = 0.00 μB/f.u.
SG = I4/mmm

a = 4.1544 Å, b = 4.1544 Å, c = 10.9212 Å
α = 100.96°, β = 100.96°, γ = 90.00°
With the nearest neighbours (Å) after each atom.
Atoms (fractional coordinates):
1 Dy 0.6333 0.6333 0.2666  8 Al 3.15-3.49, 8 Ir 3.22-3.23
2 Dy 0.3667 0.3667 0.7334  8 Al 3.15-3.49, 8 Ir 3.22-3.23
3 Al 0.0000 0.5000 0.0000  4 Ir 2.54
4 Al 0.1873 0.1873 0.3745  5 Ir 2.46-2.47
5 Al 0.5000 0.0000 0.0000  4 Ir 2.54
6 Al 0.8127 0.8127 0.6255  5 Ir 2.46-2.47
7 Ir 0.7500 0.2500 0.5000  4 Al 2.46
8 Ir 0.9303 0.9303 0.8606  5 Al 2.47-2.54
9 Ir 0.0697 0.0697 0.1394  5 Al 2.47-2.54
10 Ir 0.2500 0.7500 0.5000  4 Al 2.46

(two)
Density functional theory data (PBE) for crystalline DyAl2Ir2 at its relaxed geometry.

Summary:
total magnetic moment = 0.00 μB/f.u.
SG = P4/nmm

a = 4.2270 Å, b = 4.2270 Å, c = 10.1385 Å
α = 90.00°, β = 90.00°, γ = 90.00°
With the nearest neighbours (Å) after each atom.
Atoms (fractional coordinates):
1 Dy 0.5000 0.0000 0.2645  8 Ir 3.19-3.27, 8 Al 3.20-3.41
2 Dy 0.0000 0.5000 0.7355  8 Ir 3.19-3.27, 8 Al 3.20-3.41
3 Al 0.0000 0.5000 0.3763  5 Ir 2.45-2.46
4 Al 0.5000 0.0000 0.6237  5 Ir 2.45-2.46
5 Al 0.5000 0.5000 0.0000  4 Ir 2.52
6 Al 0.0000 0.0000 0.0000  4 Ir 2.52
7 Ir 0.5000 0.5000 0.5000  4 Al 2.46
8 Ir 0.0000 0.0000 0.5000  4 Al 2.46
9 Ir 0.0000 0.5000 0.1346  5 Al 2.45-2.52
10 Ir 0.5000 0.0000 0.8654  5 Al 2.45-2.52

Least stable structure: (one)

(one)
Density functional theory data (PBE) for crystalline Dy4AlIr at its relaxed geometry.

Summary:
total magnetic moment = 0.00 μB/f.u.
SG = C2/c

a = 5.9629 Å, b = 8.4208 Å, c = 7.9888 Å
α = 114.88°, β = 102.88°, γ = 106.56°
With the nearest neighbours (Å) after each atom.
Atoms (fractional coordinates):
1 Dy 0.0515 0.2176 0.8599  2 Ir 2.89-2.93, 1 Al 3.15
2 Dy 0.7805 0.7099 0.6506  2 Ir 2.91-2.92, 2 Al 3.18
3 Dy 0.3084 0.6423 0.8599  2 Ir 2.89-2.93, 1 Al 3.15
4 Dy 0.3701 0.9407 0.6506  2 Ir 2.91-2.92, 2 Al 3.18
5 Dy 0.6299 0.0593 0.3494  2 Ir 2.91-2.92, 2 Al 3.18
6 Dy 0.6916 0.3577 0.1401  2 Ir 2.89-2.93, 1 Al 3.15
7 Dy 0.2195 0.2901 0.3494  2 Ir 2.91-2.92, 2 Al 3.18
8 Dy 0.9485 0.7824 0.1401  2 Ir 2.89-2.93, 1 Al 3.15
9 Al 0.3771 0.6271 0.2542  8 Dy 3.15-3.31
10 Al 0.6229 0.3729 0.7458  8 Dy 3.15-3.31
11 Ir 0.2499 0.9999 0.9998  8 Dy 2.89-2.93, 2 Ir 2.98
12 Ir 0.7501 0.0001 0.0002  8 Dy 2.89-2.93, 2 Ir 2.98

(two)
Density functional theory data (PBE) for crystalline Dy4AlIr at its relaxed geometry.

Summary:
total magnetic moment = 0.00 μB/f.u.
SG = F-43m

a = 9.5441 Å, b = 9.5441 Å, c = 9.5441 Å
α = 60.00°, β = 60.00°, γ = 60.00°
With the nearest neighbours (Å) after each atom.
Atoms (fractional coordinates):
1 Dy 0.3985 0.3985 0.3985  3 Ir 2.84
2 Dy 0.8045 0.3985 0.3985  3 Ir 2.84
3 Dy 0.3985 0.8045 0.3985  3 Ir 2.84
4 Dy 0.3985 0.3985 0.8045  3 Ir 2.84
5 Dy 0.5547 0.5547 0.9453  2 Ir 2.79
6 Dy 0.9453 0.9453 0.5547  2 Ir 2.79
7 Dy 0.5547 0.9453 0.5547  2 Ir 2.79
8 Dy 0.9453 0.5547 0.9453  2 Ir 2.79
9 Dy 0.9453 0.5547 0.5547  2 Ir 2.79
10 Dy 0.5547 0.9453 0.9453  2 Ir 2.79
11 Dy 0.1882 0.1882 0.8118  2 Al 3.30, 10 Dy 3.44-3.59, 2 Ir 3.44
12 Dy 0.8118 0.8118 0.1882  2 Al 3.30, 10 Dy 3.44-3.59, 2 Ir 3.44
13 Dy 0.1882 0.8118 0.1882  2 Al 3.30, 10 Dy 3.44-3.59, 2 Ir 3.44
14 Dy 0.8118 0.1882 0.8118  2 Al 3.30, 10 Dy 3.44-3.59, 2 Ir 3.44
15 Dy 0.8118 0.1882 0.1882  2 Al 3.30, 10 Dy 3.44-3.59, 2 Ir 3.44
16 Dy 0.1882 0.8118 0.8118  2 Al 3.30, 10 Dy 3.44-3.59, 2 Ir 3.44
17 Al 0.1725 0.1725 0.1725  3 Al 2.96, 3 Dy 3.30
18 Al 0.4826 0.1725 0.1725  3 Al 2.96, 3 Dy 3.30
19 Al 0.1725 0.4826 0.1725  3 Al 2.96, 3 Dy 3.30
20 Al 0.1725 0.1725 0.4826  3 Al 2.96, 3 Dy 3.30
21 Ir 0.6088 0.6088 0.6088  6 Dy 2.79-2.84
22 Ir 0.1737 0.6088 0.6088  6 Dy 2.79-2.84
23 Ir 0.6088 0.1737 0.6088  6 Dy 2.79-2.84
24 Ir 0.6088 0.6088 0.1737  6 Dy 2.79-2.84

Least stable structure: (one)

(one)
Density functional theory data (PBE) for crystalline LaDy2Al at its relaxed geometry.

Summary:
total magnetic moment = 0.00 μB/f.u.
SG = R3m

a = 5.0946 Å, b = 5.0946 Å, c = 6.3096 Å
α = 66.19°, β = 66.19°, γ = 60.00°
With the nearest neighbours (Å) after each atom.
Atoms (fractional coordinates):
1 La 0.4898 0.4898 0.5307  4 Al 3.36-3.69, 7 Dy 3.50-3.57
2 Dy 0.0435 0.0435 0.8695  3 Al 2.96
3 Dy 0.2765 0.2765 0.1706  3 Al 3.24, 3 Dy 3.39, 4 La 3.56-3.57
4 Al 0.6903 0.6903 0.9292  6 Dy 2.96-3.24

(two)
Density functional theory data (PBE) for crystalline LaDy2Al at its relaxed geometry.

Summary:
total magnetic moment = 0.00 μB/f.u.
SG = R-3m

a = 3.4853 Å, b = 3.4853 Å, c = 11.6575 Å
α = 81.40°, β = 81.40°, γ = 60.00°
With the nearest neighbours (Å) after each atom.
Atoms (fractional coordinates):
1 La 0.0000 0.0000 0.0000  2 Dy 3.48, 6 La 3.49
2 Al 0.5000 0.5000 0.5000  6 Dy 3.02
3 Dy 0.1011 0.1011 0.6967  3 Al 3.02
4 Dy 0.8989 0.8989 0.3033  3 Al 3.02

(three)
Density functional theory data (PBE) for crystalline LaDy2Al at its relaxed geometry.

Summary:
total magnetic moment = 0.01 μB/f.u.
SG = P4/mmm

a = 4.8058 Å, b = 4.8507 Å, c = 4.8507 Å
α = 90.00°, β = 90.00°, γ = 90.00°
With the nearest neighbours (Å) after each atom.
Atoms (fractional coordinates):
1 La 0.5000 0.5000 0.5000  8 Dy 3.41, 4 Al 3.43
2 Al 0.5000 0.0000 0.0000  8 Dy 3.41, 4 La 3.43
3 Dy 0.0000 0.0000 0.5000  4 La 3.41, 4 Al 3.41, 4 Dy 3.43
4 Dy 0.0000 0.5000 0.0000  4 La 3.41, 4 Al 3.41, 4 Dy 3.43

Least stable structure: (two)